# Li2FeBr

An optimized crystal structure of Li2FeBr (PBE, Alexandria via LeMat-Bulk).

The structure in extended XYZ format:
```
4
Lattice="5.442 -0.462 0.248 1.655 5.205 -0.248 -2.663 -3.696 3.023" Properties=species:S:1:pos:R:3 pbc="T T T"
Fe 1.270 1.940 1.387
Br 3.164 -0.893 1.636
Li 3.750 2.507 0.000
Li 6.894 4.608 0.000
```

Computed properties:
E_form (uncorrected) = 0.177 eV per atom

# Li2FeBr

An optimized crystal structure of Li2FeBr (PBE, Alexandria via LeMat-Bulk).

The structure in extended XYZ format:
```
4
Lattice="3.415 0.013 0.000 -0.013 3.415 0.000 0.000 0.000 6.059" Properties=species:S:1:pos:R:3 pbc="T T T"
Li 1.701 1.714 1.584
Li 0.000 0.000 0.015
Br 0.000 0.000 2.675
Fe 1.701 1.714 4.814
```

Computed properties:
E_form (uncorrected) = -0.021 eV per atom

# Li2FeBr

An optimized crystal structure of Li2FeBr (PBE, Alexandria via LeMat-Bulk).

The structure in extended XYZ format:
```
8
Lattice="6.988 0.000 0.000 0.000 6.988 0.000 3.494 3.494 3.386" Properties=species:S:1:pos:R:3 pbc="T T T"
Br 6.988 3.494 1.693
Br 0.000 0.000 0.000
Li 1.552 5.241 0.847
Li 5.241 5.046 2.540
Li 8.735 8.929 2.540
Li 5.436 1.747 0.847
Fe 3.494 3.494 0.000
Fe 3.494 6.988 1.693
```

Computed properties:
E_form (uncorrected) = 0.120 eV per atom

# LiFeBr4

An optimized crystal structure of LiFeBr4 (PBE, Alexandria via LeMat-Bulk).

The structure in extended XYZ format:
```
6
Lattice="0.000 4.539 4.539 4.539 0.000 4.539 4.539 4.539 0.000" Properties=species:S:1:pos:R:3 pbc="T T T"
Br 5.670 3.409 5.670
Br 3.409 5.670 5.670
Br 5.670 5.670 3.409
Br 3.409 3.409 3.409
Fe 6.809 6.809 6.809
Li 0.000 0.000 0.000
```

Computed properties:
E_form (uncorrected) = 0.640 eV per atom

# LiFeBr4

An optimized crystal structure of LiFeBr4 (PBE, Alexandria via LeMat-Bulk).

The structure in extended XYZ format:
```
24
Lattice="7.278 0.000 0.000 0.000 7.538 0.061 0.000 0.703 13.973" Properties=species:S:1:pos:R:3 pbc="T T T"
Li 3.694 1.177 1.651
Li 0.056 6.713 5.397
Li 7.222 1.528 8.638
Li 3.583 7.065 12.383
Br 4.781 4.832 11.364
Br 4.670 6.171 0.946
Br 5.757 1.055 11.285
Br 5.909 2.322 0.655
Br 6.135 4.481 4.377
Br 2.118 7.537 9.736
Br 6.246 6.523 7.933
Br 2.496 3.409 2.670
Br 5.008 2.673 7.642
Br 5.160 0.704 4.299
Br 1.521 7.186 2.749
Br 2.607 2.070 13.088
Br 2.270 5.568 6.393
Br 1.369 5.919 13.379
Br 1.031 1.718 6.102
Br 1.143 3.760 9.657
Fe 2.467 5.420 1.472
Fe 4.811 2.822 12.562
Fe 6.106 2.470 5.576
Fe 1.172 5.771 8.458
```

Computed properties:
E_form (uncorrected) = -0.826 eV per atom

# LiFeBr

An optimized crystal structure of LiFeBr (PBE, Alexandria via LeMat-Bulk).

The structure in extended XYZ format:
```
3
Lattice="4.142 0.000 0.000 -2.071 3.587 0.000 0.000 0.000 3.434" Properties=species:S:1:pos:R:3 pbc="T T T"
Br 0.000 0.000 0.572
Li 0.000 2.391 2.290
Fe 2.071 1.196 0.572
```

Computed properties:
E_form (uncorrected) = 0.190 eV per atom

| no. | E above lowest polymorph (meV per atom) | electronic total energy (eV/cell) | calculated volume (Å³/f.u.) |
| --- | --- | --- | --- |
| 1 | 290 | -13.26 | 84.55 |
| 2 | 92 | -14.05 | 70.68 |
| 3 | 233 | -26.97 | 82.67 |
| 4 | 1473 | -13.23 | 187.06 |
| 5 | 7 | -88.09 | 191.57 |
| 6 | 85 | -11.48 | 51.01 |